1) The following is a DFT calculation (GGA-PBE) of a relaxed Sc2AlC crystal.

a = 3.2925 Å, b = 3.2925 Å, c = 15.1109 Å
α = 90.00°, β = 90.00°, γ = 120.00°
Space group P6_3/mmc (No. 194)
Unique sites:
Sc 0.3333 0.6667 0.0823 [4 per cell]
Al 0.3333 0.6667 0.7500 [2 per cell]
C 0.0000 0.0000 0.0000 [2 per cell]

## Properties
Crystal system: hexagonal


2) The following is a DFT calculation (GGA-PBE) of a relaxed Sc2AlC crystal.

a = 3.2617 Å, b = 3.2617 Å, c = 26.2699 Å
α = 90.00°, β = 90.00°, γ = 120.00°
Space group R-3m (No. 166, hexagonal axes)
Unique sites:
Sc 0.0000 0.0000 0.0817 [6 per cell]
Al 0.0000 0.0000 0.5000 [3 per cell]
C 0.0000 0.0000 0.0000 [3 per cell]

## Properties
Crystal system: trigonal


If you had to bet on the most stable structure above, which would it be? Bet on 1).